[1]
A crystal of La4CrSb relaxed with PBEsol. Source: Alexandria, functional meta-GGA SCAN.

Cell: 8.926 8.926 8.926 Å, 90.00 90.00 90.00°
Space group F-43m (No. 216)
One atom of each set of equivalent atoms:
1 La 0.124 0.124 0.376 x16
2 Cr 0.000 0.000 0.000 x4
3 Sb 0.250 0.250 0.750 x4

Output
* formation energy without anion corrections: 20.4 kJ/mol of atoms

[2]
A crystal of LaCrSb2 relaxed with PBEsol. Source: Alexandria, functional meta-GGA SCAN.

Cell: 4.042 4.042 6.412 Å, 90.00 90.00 90.00°
Space group P4mm (No. 99)
One atom of each set of equivalent atoms:
1 La 0.000 0.000 0.000 x1
2 Cr 0.500 0.500 0.620 x1
3 Sb 0.000 0.000 0.514 x1
4 Sb 0.500 0.500 0.192 x1

Output
* formation energy without anion corrections: -36.5 kJ/mol of atoms

[3]
A crystal of LaCr2Sb relaxed with PBEsol. Source: Alexandria, functional meta-GGA SCAN.

Cell: 4.263 4.263 9.452 Å, 90.00 90.00 90.00°
Space group I-4m2 (No. 119)
One atom of each set of equivalent atoms:
1 La 0.000 0.000 0.000 x2
2 Cr 0.000 0.000 0.500 x2
3 Cr 0.000 0.500 0.750 x2
4 Sb 0.000 0.500 0.250 x2

Output
* formation energy without anion corrections: 6.2 kJ/mol of atoms

[4]
A crystal of LaCrSb2 relaxed with PBEsol. Source: Alexandria, functional meta-GGA SCAN.

Cell: 3.350 3.350 7.751 Å, 90.00 90.00 90.00°
Space group P4/mmm (No. 123)
One atom of each set of equivalent atoms:
1 La 0.000 0.000 0.000 x1
2 Cr 0.000 0.000 0.500 x1
3 Sb 0.500 0.500 0.302 x2

Output
* formation energy without anion corrections: -22.0 kJ/mol of atoms

Among the records above, which one has the highest formation energy without anion corrections?
La4CrSb

Among the records above, which one has the highest formation energy without anion corrections?
La4CrSb

What did the second record say?
A crystal of LaCrSb2 relaxed with PBEsol. Source: Alexandria, functional meta-GGA SCAN.

Cell: 4.042 4.042 6.412 Å, 90.00 90.00 90.00°
Space group P4mm (No. 99)
One atom of each set of equivalent atoms:
1 La 0.000 0.000 0.000 x1
2 Cr 0.500 0.500 0.620 x1
3 Sb 0.000 0.000 0.514 x1
4 Sb 0.500 0.500 0.192 x1

Output
* formation energy without anion corrections: -36.5 kJ/mol of atoms